(1)
The following is a DFT calculation (SCAN) of a crystal of Li2CrW relaxed with PBEsol.

Cell lengths 4.1685, 4.1685, 4.1685 Å; angles 60.00, 60.00, 60.00 degrees
Fractional coordinates of all 4 atoms:
1 Li 0.2500 0.2500 0.2500
2 Li 0.7500 0.7500 0.7500
3 Cr 0.0000 0.0000 0.0000
4 W 0.5000 0.5000 0.5000

Computed properties:
Space group: Fm-3m (225)
DFT total energy (eV per atom): -22.283
Formation energy (eV/atom): 0.93
Energy above the most stable polymorph in this dataset (kJ/mol of formula units): 158.2
Density (Mg/m³): 8.10

---

(2)
The following is a DFT calculation (SCAN) of a crystal of MoRu3 relaxed with PBEsol.

Cell lengths 5.0891, 5.0891, 5.0891 Å; angles 149.07, 64.53, 124.91 degrees
Fractional coordinates of all 4 atoms:
1 Mo 0.0000 0.0000 0.0000
2 Ru 0.0809 0.3294 0.7515
3 Ru 0.4971 0.9971 0.5000
4 Ru 0.5780 0.3294 0.2485

Computed properties:
Space group: Imm2 (44)
DFT total energy (eV per atom): -34.858
Formation energy (eV/atom): -0.02
Energy above the most stable polymorph in this dataset (kJ/mol of formula units): 14.4
Density (Mg/m³): 12.06

---

(3)
The following is a DFT calculation (SCAN) of a crystal of LiGaCo3 relaxed with PBEsol.

Cell lengths 3.8299, 3.8299, 3.8299 Å; angles 90.00, 90.00, 90.00 degrees
Fractional coordinates of all 5 atoms:
1 Li 0.0000 0.0000 0.0000
2 Ga 0.5000 0.5000 0.5000
3 Co 0.0000 0.0000 0.5000
4 Co 0.0000 0.5000 0.0000
5 Co 0.5000 0.0000 0.0000

Computed properties:
Space group: Pm-3m (221)
DFT total energy (eV per atom): -13.300
Formation energy (eV/atom): 0.83
Density (Mg/m³): 7.49

---

(4)
The following is a DFT calculation (SCAN) of a crystal of Ca2ZrRu relaxed with PBEsol.

Cell lengths 3.1606, 4.8992, 5.6027 Å; angles 90.00, 90.00, 90.00 degrees
Fractional coordinates of all 4 atoms:
1 Ca 0.0000 0.0000 0.2347
2 Ca 0.0000 0.0000 0.7653
3 Zr 0.5000 0.5000 0.5000
4 Ru 0.5000 0.5000 0.0000

Computed properties:
Space group: Pmmm (47)
DFT total energy (eV per atom): -20.731
Formation energy (eV/atom): 0.48
Energy above the most stable polymorph in this dataset (kJ/mol of formula units): 235.5
Density (Mg/m³): 5.21